# CaPmNiPd

A relaxed CaPmNiPd crystal (PBE, Alexandria via LeMat-Bulk).

* DFT formation energy: -190 kJ/mol of formula units
* VASP energy: -4.9243 eV per atom
* relative energy among the computed polymorphs: 0.0000 eV per atom

CIF file:
```
data_CaPmNiPd
_chemical_formula_sum 'Ca2 Pm2 Ni2 Pd2'
_cell_length_a 4.233
_cell_length_b 3.942
_cell_length_c 10.940
_cell_angle_alpha 90.00
_cell_angle_beta 90.00
_cell_angle_gamma 90.00
_space_group_name_H-M_alt 'A m m 2'
_space_group_IT_number 38
loop_
_space_group_symop_operation_xyz
'x,y,z'
'-x,-y,z'
'-x,y,z'
'x,-y,z'
'x,y+1/2,z+1/2'
'-x,-y+1/2,z+1/2'
'-x,y+1/2,z+1/2'
'x,-y+1/2,z+1/2'
loop_
_atom_site_label
_atom_site_type_symbol
_atom_site_fract_x
_atom_site_fract_y
_atom_site_fract_z
Ca1 Ca 0.000 0.000 0.000
Pm1 Pm 0.500 0.000 0.281
Ni1 Ni 0.000 0.000 0.720
Pd1 Pd 0.500 0.000 0.572
```

=====

# CaNiPdS2

A relaxed CaNiPdS2 crystal (PBE, Alexandria via LeMat-Bulk).

* VASP energy: -3.4333 eV per atom

CIF file:
```
data_CaNiPdS2
_chemical_formula_sum 'Ca1 Ni1 Pd1 S2'
_cell_length_a 5.162
_cell_length_b 5.162
_cell_length_c 4.913
_cell_angle_alpha 90.00
_cell_angle_beta 90.00
_cell_angle_gamma 90.00
_space_group_name_H-M_alt 'P 4/m m m'
_space_group_IT_number 123
_space_group_name_Hall '-P 4 2'
loop_
_atom_site_label
_atom_site_type_symbol
_atom_site_fract_x
_atom_site_fract_y
_atom_site_fract_z
Ca1 Ca 0.000 0.000 0.000
Ni1 Ni 0.500 0.500 0.500
Pd1 Pd 0.000 0.000 0.500
S1 S 0.000 0.500 0.000
```

=====

# Ca2NiSb4Pd3

A relaxed Ca2NiSb4Pd3 crystal (PBE, Alexandria via LeMat-Bulk).

* VASP energy: -4.8255 eV per atom

CIF file:
```
data_Ca2NiSb4Pd3
_chemical_formula_sum 'Ca2 Ni1 Sb4 Pd3'
_cell_length_a 4.573
_cell_length_b 4.573
_cell_length_c 10.828
_cell_angle_alpha 90.00
_cell_angle_beta 90.00
_cell_angle_gamma 90.00
_space_group_name_H-M_alt 'P -4 m 2'
_space_group_IT_number 115
loop_
_space_group_symop_operation_xyz
'x,y,z'
'y,-x,-z'
'-x,-y,z'
'-y,x,-z'
'-x,y,z'
'-y,-x,-z'
'x,-y,z'
'y,x,-z'
loop_
_atom_site_label
_atom_site_type_symbol
_atom_site_fract_x
_atom_site_fract_y
_atom_site_fract_z
Ca1 Ca 0.000 0.500 0.231
Ni1 Ni 0.500 0.500 0.000
Sb1 Sb 0.000 0.000 0.500
Sb2 Sb 0.000 0.500 0.879
Sb3 Sb 0.500 0.500 0.500
Pd1 Pd 0.000 0.000 0.000
Pd2 Pd 0.000 0.500 0.638
```

=====

# CaNiSbPd

A relaxed CaNiSbPd crystal (PBE, Alexandria via LeMat-Bulk).

* VASP energy: -4.7254 eV per atom

CIF file:
```
data_CaNiSbPd
_chemical_formula_sum 'Ca4 Ni4 Sb4 Pd4'
_cell_length_a 6.649
_cell_length_b 6.649
_cell_length_c 6.649
_cell_angle_alpha 90.00
_cell_angle_beta 90.00
_cell_angle_gamma 90.00
_space_group_name_H-M_alt 'F -4 3 m'
_space_group_IT_number 216
_space_group_name_Hall 'F -4 2 3'
loop_
_atom_site_label
_atom_site_type_symbol
_atom_site_fract_x
_atom_site_fract_y
_atom_site_fract_z
Ca1 Ca 0.000 0.000 0.000
Ni1 Ni 0.250 0.250 0.750
Sb1 Sb 0.000 0.000 0.500
Pd1 Pd 0.250 0.250 0.250
```

=====

# CaNiSbPd2

A relaxed CaNiSbPd2 crystal (PBE, Alexandria via LeMat-Bulk).

* VASP energy: -4.5717 eV per atom
* relative energy among the computed polymorphs: 0.0000 eV per atom

CIF file:
```
data_CaNiSbPd2
_chemical_formula_sum 'Ca1 Ni1 Sb1 Pd2'
_cell_length_a 4.877
_cell_length_b 4.877
_cell_length_c 4.584
_cell_angle_alpha 90.00
_cell_angle_beta 90.00
_cell_angle_gamma 90.00
_space_group_name_H-M_alt 'P 4/m m m'
_space_group_IT_number 123
_space_group_name_Hall '-P 4 2'
loop_
_atom_site_label
_atom_site_type_symbol
_atom_site_fract_x
_atom_site_fract_y
_atom_site_fract_z
Ca1 Ca 0.000 0.000 0.000
Ni1 Ni 0.500 0.500 0.500
Sb1 Sb 0.500 0.500 0.000
Pd1 Pd 0.000 0.500 0.500
```

=====

# CaNiSbPd2

A relaxed CaNiSbPd2 crystal (PBE, Alexandria via LeMat-Bulk).

* VASP energy: -3.8365 eV per atom
* relative energy among the computed polymorphs: 0.7351 eV per atom

CIF file:
```
data_CaNiSbPd2
_chemical_formula_sum 'Ca1 Ni1 Sb1 Pd2'
_cell_length_a 4.947
_cell_length_b 4.947
_cell_length_c 5.734
_cell_angle_alpha 90.00
_cell_angle_beta 90.00
_cell_angle_gamma 90.00
_space_group_name_H-M_alt 'P 4/m m m'
_space_group_IT_number 123
_space_group_name_Hall '-P 4 2'
loop_
_atom_site_label
_atom_site_type_symbol
_atom_site_fract_x
_atom_site_fract_y
_atom_site_fract_z
Ca1 Ca 0.000 0.000 0.000
Ni1 Ni 0.500 0.500 0.000
Sb1 Sb 0.000 0.000 0.500
Pd1 Pd 0.000 0.500 0.500
```

=====

# Ca2Ni3Sn4Pd

A relaxed Ca2Ni3Sn4Pd crystal (PBE, Alexandria via LeMat-Bulk).

* DFT formation energy: -447 kJ/mol of formula units
* VASP energy: -4.7182 eV per atom

CIF file:
```
data_Ca2Ni3Sn4Pd
_chemical_formula_sum 'Ca2 Ni3 Sn4 Pd1'
_cell_length_a 4.442
_cell_length_b 4.442
_cell_length_c 10.578
_cell_angle_alpha 90.00
_cell_angle_beta 90.00
_cell_angle_gamma 90.00
_space_group_name_H-M_alt 'P -4 m 2'
_space_group_IT_number 115
loop_
_space_group_symop_operation_xyz
'x,y,z'
'y,-x,-z'
'-x,-y,z'
'-y,x,-z'
'-x,y,z'
'-y,-x,-z'
'x,-y,z'
'y,x,-z'
loop_
_atom_site_label
_atom_site_type_symbol
_atom_site_fract_x
_atom_site_fract_y
_atom_site_fract_z
Ca1 Ca 0.000 0.500 0.246
Ni1 Ni 0.000 0.000 0.000
Ni2 Ni 0.000 0.500 0.628
Sn1 Sn 0.000 0.000 0.500
Sn2 Sn 0.000 0.500 0.867
Sn3 Sn 0.500 0.500 0.500
Pd1 Pd 0.500 0.500 0.000
```

=====

# CaNiSnPd

A relaxed CaNiSnPd crystal (PBE, Alexandria via LeMat-Bulk).

* DFT formation energy: -170 kJ/mol of formula units
* VASP energy: -4.6851 eV per atom

CIF file:
```
data_CaNiSnPd
_chemical_formula_sum 'Ca4 Ni4 Sn4 Pd4'
_cell_length_a 6.655
_cell_length_b 6.655
_cell_length_c 6.655
_cell_angle_alpha 90.00
_cell_angle_beta 90.00
_cell_angle_gamma 90.00
_space_group_name_H-M_alt 'F -4 3 m'
_space_group_IT_number 216
_space_group_name_Hall 'F -4 2 3'
loop_
_atom_site_label
_atom_site_type_symbol
_atom_site_fract_x
_atom_site_fract_y
_atom_site_fract_z
Ca1 Ca 0.000 0.000 0.000
Ni1 Ni 0.250 0.250 0.250
Sn1 Sn 0.000 0.000 0.500
Pd1 Pd 0.250 0.250 0.750
```